! Li2Cd2AgAu2, relaxed, DFT PBE; values from VASP
&SYSTEM
  ibrav = 0, nat = 7, ntyp = 4
/
ATOMIC_SPECIES
Li 6.94 Li.upf
Cd 112.41 Cd.upf
Ag 107.87 Ag.upf
Au 196.97 Au.upf
CELL_PARAMETERS angstrom
4.073 0.000 0.000
-2.037 4.611 0.243
0.000 -1.348 6.593
ATOMIC_POSITIONS angstrom
Li 2.037 1.749 0.993
Li 0.000 1.513 5.842
Cd 0.000 0.695 2.825
Cd 2.037 2.567 4.010
Ag 0.000 0.000 0.000
Au 2.037 -0.161 4.910
Au 0.000 3.424 1.925
! ΔH_f (0 K)   -0.32 eV per atom
! Energy   -0.091 hartree per atom
! Total magnetic moment   0.000 μB per formula unit

=====

! NbAl3S, relaxed, DFT PBE; values from VASP
&SYSTEM
  ibrav = 0, nat = 5, ntyp = 3
/
ATOMIC_SPECIES
Nb 92.91 Nb.upf
S 32.06 S.upf
Al 26.98 Al.upf
CELL_PARAMETERS angstrom
-3.984 0.510 3.160
-2.782 -3.049 -3.014
1.585 -4.069 2.654
ATOMIC_POSITIONS angstrom
Nb 0.000 0.000 0.000
S -2.590 -3.304 1.400
Al -1.391 -1.524 -1.507
Al 0.792 -2.035 1.327
Al -1.992 0.255 1.580
! E above lowest polymorph   541 meV per atom
! Formation energy from raw total energies   1.0836 eV per atom
! Energy   -0.147 hartree per atom
! Total magnetic moment   3.130 μB per formula unit

=====

! BaIn3Ge3, relaxed, DFT PBE; values from VASP
&SYSTEM
  ibrav = 0, nat = 14, ntyp = 3
/
ATOMIC_SPECIES
Ge 72.64 Ge.upf
Ba 137.33 Ba.upf
In 114.82 In.upf
CELL_PARAMETERS angstrom
-6.133 1.887 4.082
-4.191 -4.903 -4.030
1.632 -5.499 4.994
ATOMIC_POSITIONS angstrom
Ge -0.232 -3.975 1.489
Ge -2.328 -6.427 -0.526
Ge -1.843 -3.181 5.787
Ge -6.695 -1.036 1.047
Ge -2.659 -0.431 3.290
Ge -3.629 -1.980 -0.994
Ba -4.346 -4.257 2.523
Ba 0.000 0.000 0.000
In -0.717 -2.278 3.518
In -1.688 -3.826 -0.766
In -6.210 -2.733 -0.981
In -3.784 -1.334 5.559
In -0.872 -6.576 1.730
In -4.114 -0.282 1.034
! ΔH_f (0 K)   -0.08 eV per atom
! Energy   -0.129 hartree per atom
! Total magnetic moment   0.000 μB per formula unit

=====

! RbTlPF6, relaxed, DFT PBE; values from VASP
&SYSTEM
  ibrav = 0, nat = 9, ntyp = 4
/
ATOMIC_SPECIES
Rb 85.47 Rb.upf
Tl 204.38 Tl.upf
P 30.97 P.upf
F 19.00 F.upf
CELL_PARAMETERS angstrom
6.625 0.391 0.230
3.659 5.502 0.222
0.162 0.103 4.829
ATOMIC_POSITIONS angstrom
Rb 6.881 0.693 4.363
Tl 6.920 4.318 1.620
P 3.649 2.090 2.845
F 1.514 0.335 1.670
F 3.860 0.658 3.824
F 4.682 2.895 3.825
F 2.336 2.559 3.798
F 3.450 3.446 1.886
F 4.994 1.589 1.897
! Formation energy from raw total energies   -2.2684 eV per atom
! Energy   -0.165 hartree per atom
! Total magnetic moment   1.000 μB per formula unit

=====

Copy entry 4 word for word.
! RbTlPF6, relaxed, DFT PBE; values from VASP
&SYSTEM
  ibrav = 0, nat = 9, ntyp = 4
/
ATOMIC_SPECIES
Rb 85.47 Rb.upf
Tl 204.38 Tl.upf
P 30.97 P.upf
F 19.00 F.upf
CELL_PARAMETERS angstrom
6.625 0.391 0.230
3.659 5.502 0.222
0.162 0.103 4.829
ATOMIC_POSITIONS angstrom
Rb 6.881 0.693 4.363
Tl 6.920 4.318 1.620
P 3.649 2.090 2.845
F 1.514 0.335 1.670
F 3.860 0.658 3.824
F 4.682 2.895 3.825
F 2.336 2.559 3.798
F 3.450 3.446 1.886
F 4.994 1.589 1.897
! Formation energy from raw total energies   -2.2684 eV per atom
! Energy   -0.165 hartree per atom
! Total magnetic moment   1.000 μB per formula unit

=====

What did the second record say?
! NbAl3S, relaxed, DFT PBE; values from VASP
&SYSTEM
  ibrav = 0, nat = 5, ntyp = 3
/
ATOMIC_SPECIES
Nb 92.91 Nb.upf
S 32.06 S.upf
Al 26.98 Al.upf
CELL_PARAMETERS angstrom
-3.984 0.510 3.160
-2.782 -3.049 -3.014
1.585 -4.069 2.654
ATOMIC_POSITIONS angstrom
Nb 0.000 0.000 0.000
S -2.590 -3.304 1.400
Al -1.391 -1.524 -1.507
Al 0.792 -2.035 1.327
Al -1.992 0.255 1.580
! E above lowest polymorph   541 meV per atom
! Formation energy from raw total energies   1.0836 eV per atom
! Energy   -0.147 hartree per atom
! Total magnetic moment   3.130 μB per formula unit